1.
# USi4Pt12 | Alexandria | PBE | optimized geometry
data_USi4Pt12
_chemical_formula_sum 'U2 Si8 Pt24'
_space_group_name_H-M_alt 'I m -3'
_space_group_IT_number 204
_space_group_name_Hall '-I 2 2 3'
_cell_length_a 8.406
_cell_length_b 8.406
_cell_length_c 8.406
_cell_angle_alpha 90.00
_cell_angle_beta 90.00
_cell_angle_gamma 90.00
loop_
_atom_site_label
_atom_site_type_symbol
_atom_site_fract_x
_atom_site_fract_y
_atom_site_fract_z
_atom_site_occupancy
U1 U 0.000 0.000 0.000 1
Si1 Si 0.250 0.250 0.250 1
Pt1 Pt 0.000 0.339 0.161 1
# Formation energy (no corrections): -0.387 eV/atom
# Theoretical density: 15.05 g/cm³
# DOS at the Fermi energy: 17.21 states/eV/cell


2.
# U2SiPt6 | Alexandria | PBE | optimized geometry
data_U2SiPt6
_chemical_formula_sum 'U4 Si2 Pt12'
_space_group_name_H-M_alt 'C 1 2/m 1'
_space_group_IT_number 12
_cell_length_a 9.635
_cell_length_b 5.613
_cell_length_c 6.201
_cell_angle_alpha 90.00
_cell_angle_beta 103.64
_cell_angle_gamma 90.00
loop_
_space_group_symop_operation_xyz
'x,y,z'
'-x,-y,-z'
'-x,y,-z'
'x,-y,z'
'x+1/2,y+1/2,z'
'-x+1/2,-y+1/2,-z'
'-x+1/2,y+1/2,-z'
'x+1/2,-y+1/2,z'
loop_
_atom_site_label
_atom_site_type_symbol
_atom_site_fract_x
_atom_site_fract_y
_atom_site_fract_z
_atom_site_occupancy
U1 U 0.145 0.000 0.365 1
Si1 Si 0.000 0.500 0.500 1
Pt1 Pt 0.126 0.500 0.206 1
Pt2 Pt 0.131 0.246 0.809 1
# Formation energy (no corrections): -0.734 eV/atom
# Theoretical density: 17.06 g/cm³
# DOS at the Fermi energy: 25.52 states/eV/cell


3.
# USi2Pt2 | Alexandria | PBE | optimized geometry
data_USi2Pt2
_chemical_formula_sum 'U2 Si4 Pt4'
_space_group_name_H-M_alt 'P 4/n m m'
_space_group_IT_number 129
_cell_length_a 4.202
_cell_length_b 4.202
_cell_length_c 9.858
_cell_angle_alpha 90.00
_cell_angle_beta 90.00
_cell_angle_gamma 90.00
loop_
_space_group_symop_operation_xyz
'x,y,z'
'-x,-y,-z'
'-y+1/2,x,z'
'y+1/2,-x,-z'
'-x+1/2,-y+1/2,z'
'x+1/2,y+1/2,-z'
'y,-x+1/2,z'
'-y,x+1/2,-z'
'x+1/2,-y,-z'
'-x+1/2,y,z'
'-y,-x,-z'
'y,x,z'
'-x,y+1/2,-z'
'x,-y+1/2,z'
'y+1/2,x+1/2,-z'
'-y+1/2,-x+1/2,z'
loop_
_atom_site_label
_atom_site_type_symbol
_atom_site_fract_x
_atom_site_fract_y
_atom_site_fract_z
_atom_site_occupancy
U1 U 0.250 0.250 0.247 1
Si1 Si 0.250 0.250 0.635 1
Si2 Si 0.250 0.750 0.000 1
Pt1 Pt 0.250 0.250 0.877 1
Pt2 Pt 0.250 0.750 0.500 1
# Formation energy (no corrections): -0.781 eV/atom
# Theoretical density: 13.06 g/cm³
# DOS at the Fermi energy: 17.98 states/eV/cell


4.
# U2Si4Pt3 | Alexandria | PBE | optimized geometry
data_U2Si4Pt3
_chemical_formula_sum 'U8 Si16 Pt12'
_space_group_name_H-M_alt 'C m c e'
_space_group_IT_number 64
_space_group_name_Hall '-C 2ac 2'
_cell_length_a 5.967
_cell_length_b 13.755
_cell_length_c 7.336
_cell_angle_alpha 90.00
_cell_angle_beta 90.00
_cell_angle_gamma 90.00
loop_
_atom_site_label
_atom_site_type_symbol
_atom_site_fract_x
_atom_site_fract_y
_atom_site_fract_z
_atom_site_occupancy
U1 U 0.000 0.082 0.079 1
Si1 Si 0.000 0.180 0.478 1
Si2 Si 0.250 0.065 0.750 1
Pt1 Pt 0.000 0.000 0.500 1
Pt2 Pt 0.250 0.240 0.750 1
# Formation energy (no corrections): -0.692 eV/atom
# Theoretical density: 12.95 g/cm³
# DOS at the Fermi energy: 32.60 states/eV/cell


5.
# USi2Pt | Alexandria | PBE | optimized geometry
data_USi2Pt
_chemical_formula_sum 'U3 Si6 Pt3'
_space_group_name_H-M_alt 'R -3 m'
_space_group_IT_number 166
_space_group_name_Hall '-R 3 2"'
_cell_length_a 4.0143
_cell_length_b 4.0143
_cell_length_c 15.5263
_cell_angle_alpha 90.00
_cell_angle_beta 90.00
_cell_angle_gamma 120.00
loop_
_atom_site_label
_atom_site_type_symbol
_atom_site_fract_x
_atom_site_fract_y
_atom_site_fract_z
_atom_site_occupancy
U1 U 0.0000 0.0000 0.0000 1
Si1 Si 0.0000 0.0000 0.2223 1
Pt1 Pt 0.0000 0.0000 0.5000 1
# Formation energy (no corrections): -0.571 eV/atom
# Theoretical density: 11.25 g/cm³
# DOS at the Fermi energy: 23.81 states/eV/cell


6.
# U3SiPt5 | Alexandria | PBE | optimized geometry
data_U3SiPt5
_chemical_formula_sum 'U12 Si4 Pt20'
_space_group_name_H-M_alt 'I m a 2'
_space_group_IT_number 46
_cell_length_a 13.199
_cell_length_b 7.467
_cell_length_c 7.032
_cell_angle_alpha 90.00
_cell_angle_beta 90.00
_cell_angle_gamma 90.00
loop_
_space_group_symop_operation_xyz
'x,y,z'
'-x,-y,z'
'-x+1/2,y,z'
'x+1/2,-y,z'
'x+1/2,y+1/2,z+1/2'
'-x+1/2,-y+1/2,z+1/2'
'-x,y+1/2,z+1/2'
'x,-y+1/2,z+1/2'
loop_
_atom_site_label
_atom_site_type_symbol
_atom_site_fract_x
_atom_site_fract_y
_atom_site_fract_z
_atom_site_occupancy
U1 U 0.049 0.215 0.000 1
U2 U 0.250 0.635 0.503 1
Si1 Si 0.250 0.030 0.500 1
Pt1 Pt 0.101 0.566 0.205 1
Pt2 Pt 0.103 0.559 0.791 1
Pt3 Pt 0.250 0.209 0.803 1
# Formation energy (no corrections): -0.748 eV/atom
# Theoretical density: 16.46 g/cm³
# DOS at the Fermi energy: 70.98 states/eV/cell


7.
# U3Si4Pt2 | Alexandria | PBE | optimized geometry
data_U3Si4Pt2
_chemical_formula_sum 'U6 Si8 Pt4'
_space_group_name_H-M_alt 'C 1 2/m 1'
_space_group_IT_number 12
_cell_length_a 10.716
_cell_length_b 4.153
_cell_length_c 8.311
_cell_angle_alpha 90.00
_cell_angle_beta 116.54
_cell_angle_gamma 90.00
loop_
_space_group_symop_operation_xyz
'x,y,z'
'-x,-y,-z'
'-x,y,-z'
'x,-y,z'
'x+1/2,y+1/2,z'
'-x+1/2,-y+1/2,-z'
'-x+1/2,y+1/2,-z'
'x+1/2,-y+1/2,z'
loop_
_atom_site_label
_atom_site_type_symbol
_atom_site_fract_x
_atom_site_fract_y
_atom_site_fract_z
_atom_site_occupancy
U1 U 0.000 0.000 0.000 1
U2 U 0.101 0.500 0.651 1
Si1 Si 0.108 0.000 0.403 1
Si2 Si 0.232 0.500 0.053 1
Pt1 Pt 0.172 0.500 0.298 1
# Formation energy (no corrections): -0.630 eV/atom
# Theoretical density: 12.21 g/cm³
# DOS at the Fermi energy: 28.16 states/eV/cell


8.
# USi2Pt5 | Alexandria | PBE | optimized geometry
data_USi2Pt5
_chemical_formula_sum 'U2 Si4 Pt10'
_space_group_name_H-M_alt 'I m m m'
_space_group_IT_number 71
_space_group_name_Hall '-I 2 2'
_cell_length_a 3.928
_cell_length_b 7.037
_cell_length_c 9.763
_cell_angle_alpha 90.00
_cell_angle_beta 90.00
_cell_angle_gamma 90.00
loop_
_atom_site_label
_atom_site_type_symbol
_atom_site_fract_x
_atom_site_fract_y
_atom_site_fract_z
_atom_site_occupancy
U1 U 0.000 0.000 0.000 1
Si1 Si 0.000 0.500 0.247 1
Pt1 Pt 0.000 0.203 0.354 1
Pt2 Pt 0.000 0.500 0.000 1
# Formation energy (no corrections): -0.698 eV/atom
# Theoretical density: 15.62 g/cm³
# DOS at the Fermi energy: 20.09 states/eV/cell


9.
# USi3Pt3 | Alexandria | PBE | optimized geometry
data_USi3Pt3
_chemical_formula_sum 'U2 Si6 Pt6'
_space_group_name_H-M_alt 'P m -3 n'
_space_group_IT_number 223
_space_group_name_Hall '-P 4n 2 3'
_cell_length_a 6.587
_cell_length_b 6.587
_cell_length_c 6.587
_cell_angle_alpha 90.00
_cell_angle_beta 90.00
_cell_angle_gamma 90.00
loop_
_atom_site_label
_atom_site_type_symbol
_atom_site_fract_x
_atom_site_fract_y
_atom_site_fract_z
_atom_site_occupancy
U1 U 0.000 0.000 0.000 1
Si1 Si 0.000 0.250 0.500 1
Pt1 Pt 0.000 0.500 0.250 1
# Formation energy (no corrections): -0.372 eV/atom
# Theoretical density: 10.55 g/cm³
# DOS at the Fermi energy: 14.68 states/eV/cell


10.
# USi2Pt | Alexandria | PBE | optimized geometry
data_USi2Pt
_chemical_formula_sum 'U4 Si8 Pt4'
_space_group_name_H-M_alt 'P n m a'
_space_group_IT_number 62
_cell_length_a 7.048
_cell_length_b 4.047
_cell_length_c 9.834
_cell_angle_alpha 90.00
_cell_angle_beta 90.00
_cell_angle_gamma 90.00
loop_
_space_group_symop_operation_xyz
'x,y,z'
'-x,-y,-z'
'-x+1/2,-y,z+1/2'
'x+1/2,y,-z+1/2'
'x+1/2,-y+1/2,-z+1/2'
'-x+1/2,y+1/2,z+1/2'
'-x,y+1/2,-z'
'x,-y+1/2,z'
loop_
_atom_site_label
_atom_site_type_symbol
_atom_site_fract_x
_atom_site_fract_y
_atom_site_fract_z
_atom_site_occupancy
U1 U 0.136 0.250 0.127 1
Si1 Si 0.153 0.250 0.820 1
Si2 Si 0.228 0.250 0.426 1
Pt1 Pt 0.009 0.750 0.390 1
# Formation energy (no corrections): -0.627 eV/atom
# Theoretical density: 11.59 g/cm³
# DOS at the Fermi energy: 25.26 states/eV/cell


11.
# USi2Pt3 | Alexandria | PBE | optimized geometry
data_USi2Pt3
_chemical_formula_sum 'U4 Si8 Pt12'
_space_group_name_H-M_alt 'C 1 2/m 1'
_space_group_IT_number 12
_cell_length_a 15.386
_cell_length_b 4.250
_cell_length_c 6.649
_cell_angle_alpha 90.00
_cell_angle_beta 109.72
_cell_angle_gamma 90.00
loop_
_space_group_symop_operation_xyz
'x,y,z'
'-x,-y,-z'
'-x,y,-z'
'x,-y,z'
'x+1/2,y+1/2,z'
'-x+1/2,-y+1/2,-z'
'-x+1/2,y+1/2,-z'
'x+1/2,-y+1/2,z'
loop_
_atom_site_label
_atom_site_type_symbol
_atom_site_fract_x
_atom_site_fract_y
_atom_site_fract_z
_atom_site_occupancy
U1 U 0.117 0.000 0.171 1
Si1 Si 0.013 0.500 0.786 1
Si2 Si 0.229 0.000 0.678 1
Pt1 Pt 0.071 0.000 0.696 1
Pt2 Pt 0.153 0.500 0.505 1
Pt3 Pt 0.185 0.500 0.947 1
# Formation energy (no corrections): -0.682 eV/atom
# Theoretical density: 14.27 g/cm³
# DOS at the Fermi energy: 28.13 states/eV/cell


12.
# U2Si2Pt3 | Alexandria | PBE | optimized geometry
data_U2Si2Pt3
_chemical_formula_sum 'U4 Si4 Pt6'
_space_group_name_H-M_alt 'C 1 2/m 1'
_space_group_IT_number 12
_cell_length_a 10.931
_cell_length_b 3.658
_cell_length_c 7.089
_cell_angle_alpha 90.00
_cell_angle_beta 120.82
_cell_angle_gamma 90.00
loop_
_space_group_symop_operation_xyz
'x,y,z'
'-x,-y,-z'
'-x,y,-z'
'x,-y,z'
'x+1/2,y+1/2,z'
'-x+1/2,-y+1/2,-z'
'-x+1/2,y+1/2,-z'
'x+1/2,-y+1/2,z'
loop_
_atom_site_label
_atom_site_type_symbol
_atom_site_fract_x
_atom_site_fract_y
_atom_site_fract_z
_atom_site_occupancy
U1 U 0.176 0.000 0.353 1
Si1 Si 0.148 0.000 0.749 1
Pt1 Pt 0.000 0.500 0.500 1
Pt2 Pt 0.104 0.500 0.945 1
# Formation energy (no corrections): -0.717 eV/atom
# Theoretical density: 15.25 g/cm³
# DOS at the Fermi energy: 16.84 states/eV/cell


13.
# U4Si6Pt5 | Alexandria | PBE | optimized geometry
data_U4Si6Pt5
_chemical_formula_sum 'U16 Si24 Pt20'
_space_group_name_H-M_alt 'C m c 21'
_space_group_IT_number 36
_cell_length_a 4.063
_cell_length_b 18.614
_cell_length_c 14.994
_cell_angle_alpha 90.00
_cell_angle_beta 90.00
_cell_angle_gamma 90.00
loop_
_space_group_symop_operation_xyz
'x,y,z'
'-x,-y,z+1/2'
'-x,y,z'
'x,-y,z+1/2'
'x+1/2,y+1/2,z'
'-x+1/2,-y+1/2,z+1/2'
'-x+1/2,y+1/2,z'
'x+1/2,-y+1/2,z+1/2'
loop_
_atom_site_label
_atom_site_type_symbol
_atom_site_fract_x
_atom_site_fract_y
_atom_site_fract_z
_atom_site_occupancy
U1 U 0.000 0.012 0.000 1
U2 U 0.000 0.012 0.259 1
U3 U 0.000 0.169 0.441 1
U4 U 0.000 0.170 0.818 1
Si1 Si 0.000 0.123 0.630 1
Si2 Si 0.000 0.228 0.260 1
Si3 Si 0.000 0.229 0.999 1
Si4 Si 0.000 0.416 0.630 1
Si5 Si 0.000 0.436 0.367 1
Si6 Si 0.000 0.437 0.892 1
Pt1 Pt 0.000 0.151 0.130 1
Pt2 Pt 0.000 0.305 0.130 1
Pt3 Pt 0.000 0.348 0.485 1
Pt4 Pt 0.000 0.349 0.774 1
Pt5 Pt 0.000 0.454 0.129 1
# Formation energy (no corrections): -0.585 eV/atom
# Theoretical density: 12.28 g/cm³
# DOS at the Fermi energy: 104.28 states/eV/cell


14.
# U3Si2Pt5 | Alexandria | PBE | optimized geometry
data_U3Si2Pt5
_chemical_formula_sum 'U12 Si8 Pt20'
_space_group_name_H-M_alt 'I b a m'
_space_group_IT_number 72
_space_group_name_Hall '-I 2 2c'
_cell_length_a 11.601
_cell_length_b 11.831
_cell_length_c 5.617
_cell_angle_alpha 90.00
_cell_angle_beta 90.00
_cell_angle_gamma 90.00
loop_
_atom_site_label
_atom_site_type_symbol
_atom_site_fract_x
_atom_site_fract_y
_atom_site_fract_z
_atom_site_occupancy
U1 U 0.000 0.000 0.250 1
U2 U 0.227 0.390 0.000 1
Si1 Si 0.141 0.150 0.000 1
Pt1 Pt 0.000 0.252 0.250 1
Pt2 Pt 0.000 0.500 0.250 1
Pt3 Pt 0.161 0.370 0.500 1
# Formation energy (no corrections): -0.468 eV/atom
# Theoretical density: 15.04 g/cm³
# DOS at the Fermi energy: 69.16 states/eV/cell


15.
# U2Si6Pt21 | Alexandria | PBE | optimized geometry
data_U2Si6Pt21
_chemical_formula_sum 'U8 Si24 Pt84'
_space_group_name_H-M_alt 'F m -3 m'
_space_group_IT_number 225
_space_group_name_Hall '-F 4 2 3'
_cell_length_a 12.321
_cell_length_b 12.321
_cell_length_c 12.321
_cell_angle_alpha 90.00
_cell_angle_beta 90.00
_cell_angle_gamma 90.00
loop_
_atom_site_label
_atom_site_type_symbol
_atom_site_fract_x
_atom_site_fract_y
_atom_site_fract_z
_atom_site_occupancy
U1 U 0.250 0.250 0.250 1
Si1 Si 0.000 0.000 0.236 1
Pt1 Pt 0.000 0.000 0.500 1
Pt2 Pt 0.000 0.173 0.327 1
Pt3 Pt 0.116 0.116 0.116 1
# Formation energy (no corrections): -0.579 eV/atom
# Theoretical density: 16.84 g/cm³
# DOS at the Fermi energy: 88.47 states/eV/cell


16.
# USi2Pt4 | Alexandria | PBE | optimized geometry
data_USi2Pt4
_chemical_formula_sum 'U4 Si8 Pt16'
_space_group_name_H-M_alt 'P n m a'
_space_group_IT_number 62
_cell_length_a 16.820
_cell_length_b 4.232
_cell_length_c 6.674
_cell_angle_alpha 90.00
_cell_angle_beta 90.00
_cell_angle_gamma 90.00
loop_
_space_group_symop_operation_xyz
'x,y,z'
'-x,-y,-z'
'-x+1/2,-y,z+1/2'
'x+1/2,y,-z+1/2'
'x+1/2,-y+1/2,-z+1/2'
'-x+1/2,y+1/2,z+1/2'
'-x,y+1/2,-z'
'x,-y+1/2,z'
loop_
_atom_site_label
_atom_site_type_symbol
_atom_site_fract_x
_atom_site_fract_y
_atom_site_fract_z
_atom_site_occupancy
U1 U 0.142 0.250 0.018 1
Si1 Si 0.034 0.750 0.258 1
Si2 Si 0.204 0.250 0.574 1
Pt1 Pt 0.035 0.750 0.884 1
Pt2 Pt 0.063 0.250 0.473 1
Pt3 Pt 0.173 0.750 0.349 1
Pt4 Pt 0.215 0.750 0.772 1
# Formation energy (no corrections): -0.673 eV/atom
# Theoretical density: 15.02 g/cm³
# DOS at the Fermi energy: 32.97 states/eV/cell


17.
# U2Si2Pt | Alexandria | PBE | optimized geometry
data_U2Si2Pt
_chemical_formula_sum 'U8 Si8 Pt4'
_space_group_name_H-M_alt 'C 1 2/c 1'
_space_group_IT_number 15
_cell_length_a 9.243
_cell_length_b 5.749
_cell_length_c 7.005
_cell_angle_alpha 90.00
_cell_angle_beta 102.32
_cell_angle_gamma 90.00
loop_
_space_group_symop_operation_xyz
'x,y,z'
'-x,-y,-z'
'-x,y,-z+1/2'
'x,-y,z+1/2'
'x+1/2,y+1/2,z'
'-x+1/2,-y+1/2,-z'
'-x+1/2,y+1/2,-z+1/2'
'x+1/2,-y+1/2,z+1/2'
loop_
_atom_site_label
_atom_site_type_symbol
_atom_site_fract_x
_atom_site_fract_y
_atom_site_fract_z
_atom_site_occupancy
U1 U 0.101 0.091 0.143 1
Si1 Si 0.159 0.396 0.512 1
Pt1 Pt 0.000 0.388 0.750 1
# Formation energy (no corrections): -0.554 eV/atom
# Theoretical density: 13.28 g/cm³
# DOS at the Fermi energy: 29.67 states/eV/cell


18.
# USiPt4 | Alexandria | PBE | optimized geometry
data_USiPt4
_chemical_formula_sum 'U2 Si2 Pt8'
_space_group_name_H-M_alt 'P m m a'
_space_group_IT_number 51
_cell_length_a 7.693
_cell_length_b 3.899
_cell_length_c 6.880
_cell_angle_alpha 90.00
_cell_angle_beta 90.00
_cell_angle_gamma 90.00
loop_
_space_group_symop_operation_xyz
'x,y,z'
'-x,-y,-z'
'-x+1/2,-y,z'
'x+1/2,y,-z'
'x+1/2,-y,-z'
'-x+1/2,y,z'
'-x,y,-z'
'x,-y,z'
loop_
_atom_site_label
_atom_site_type_symbol
_atom_site_fract_x
_atom_site_fract_y
_atom_site_fract_z
_atom_site_occupancy
U1 U 0.250 0.000 0.125 1
Si1 Si 0.250 0.000 0.715 1
Pt1 Pt 0.000 0.000 0.500 1
Pt2 Pt 0.057 0.500 0.813 1
Pt3 Pt 0.250 0.500 0.437 1
# Formation energy (no corrections): -0.643 eV/atom
# Theoretical density: 16.84 g/cm³
# DOS at the Fermi energy: 13.96 states/eV/cell